<w>
Here is a relaxed RbHf3Be crystal from the Alexandria database. Energies are from PBE.

abc: 4.9493 4.9493 4.9493
angles: 90.00 90.00 90.00
Last column: nearest neighbours and their distance in Å.
Positions (direct):
1 Rb 0.0000 0.0000 0.0000  12 Hf 3.50
2 Hf 0.0000 0.5000 0.5000  2 Be 2.47
3 Hf 0.5000 0.0000 0.5000  2 Be 2.47
4 Hf 0.5000 0.5000 0.0000  2 Be 2.47
5 Be 0.5000 0.5000 0.5000  6 Hf 2.47

The space group is Pm-3m, No. 221.

=====

<x>
Here is a relaxed RbHf3Be crystal from the Alexandria database. Energies are from PBE.

abc: 4.9692 4.9692 4.9692
angles: 90.00 90.00 90.00
Last column: nearest neighbours and their distance in Å.
Positions (direct):
1 Rb 0.0000 0.0000 0.0000  6 Hf 2.48
2 Hf 0.0000 0.0000 0.5000  2 Rb 2.48
3 Hf 0.0000 0.5000 0.0000  2 Rb 2.48
4 Hf 0.5000 0.0000 0.0000  2 Rb 2.48
5 Be 0.5000 0.5000 0.5000  12 Hf 3.51

The space group is Pm-3m, No. 221.

=====

Stability, highest: <w>

=====

<w>
Here is a relaxed RbHfBe3 crystal from the Alexandria database. Energies are from PBE.

abc: 4.5797 4.5797 4.5797
angles: 90.00 90.00 90.00
Last column: nearest neighbours and their distance in Å.
Positions (direct):
1 Rb 0.0000 0.0000 0.0000  6 Be 2.29
2 Hf 0.5000 0.5000 0.5000  12 Be 3.24
3 Be 0.0000 0.0000 0.5000  2 Rb 2.29
4 Be 0.0000 0.5000 0.0000  2 Rb 2.29
5 Be 0.5000 0.0000 0.0000  2 Rb 2.29

The space group is Pm-3m, No. 221.

=====

<x>
Here is a relaxed RbHfBe3 crystal from the Alexandria database. Energies are from PBE.

abc: 5.1469 5.1469 5.1469
angles: 90.00 90.00 90.00
Last column: nearest neighbours and their distance in Å.
Positions (direct):
1 Rb 0.0000 0.0000 0.0000  12 Be 3.64
2 Hf 0.5000 0.5000 0.5000  6 Be 2.57
3 Be 0.0000 0.5000 0.5000  2 Hf 2.57
4 Be 0.5000 0.0000 0.5000  2 Hf 2.57
5 Be 0.5000 0.5000 0.0000  2 Hf 2.57

The space group is Pm-3m, No. 221.

=====

Stability, highest: <x>

=====

<w>
Here is a relaxed RbHfBe2 crystal from the Alexandria database. Energies are from PBE.

abc: 6.4694 6.4694 6.4694
angles: 107.25 107.25 114.01
Last column: nearest neighbours and their distance in Å.
Positions (direct):
1 Rb 0.0000 0.0000 0.0000  8 Be 3.20-3.57, 2 Hf 3.52
2 Rb 0.7500 0.2500 0.5000  8 Be 3.20-3.57, 2 Hf 3.52
3 Hf 0.2500 0.7500 0.5000  4 Be 2.55
4 Hf 0.5000 0.5000 0.0000  4 Be 2.55
5 Be 0.1878 0.6250 0.0628  2 Hf 2.55
6 Be 0.3750 0.4378 0.5628  2 Hf 2.55
7 Be 0.5622 0.1250 0.9372  2 Hf 2.55
8 Be 0.8750 0.8122 0.4372  2 Hf 2.55

The space group is I-42d, No. 122.

=====

<x>
Here is a relaxed RbHfBe2 crystal from the Alexandria database. Energies are from PBE.

abc: 4.9070 4.9070 4.9070
angles: 60.00 60.00 60.00
Last column: nearest neighbours and their distance in Å.
Positions (direct):
1 Rb 0.0000 0.0000 0.0000  8 Be 3.00
2 Hf 0.5000 0.5000 0.5000  8 Be 3.00
3 Be 0.2500 0.2500 0.2500  4 Hf 3.00, 4 Rb 3.00
4 Be 0.7500 0.7500 0.7500  4 Hf 3.00, 4 Rb 3.00

The space group is Fm-3m, No. 225.

=====

Stability, highest: <x>

=====

<w>
Here is a relaxed RbHfBe crystal from the Alexandria database. Energies are from PBE.

abc: 4.0895 5.0284 11.6868
angles: 84.08 88.93 66.02
Last column: nearest neighbours and their distance in Å.
Positions (direct):
1 Rb 0.1831 0.1647 0.1955  2 Be 3.58, 1 Hf 3.91
2 Rb 0.8169 0.8353 0.8045  2 Be 3.58, 1 Hf 3.91
3 Hf 0.1422 0.2119 0.5280  4 Be 2.56-2.77, 1 Hf 2.66
4 Hf 0.8578 0.7881 0.4720  4 Be 2.56-2.77, 1 Hf 2.66
5 Be 0.4567 0.5778 0.5846  1 Be 2.17
6 Be 0.5433 0.4222 0.4154  1 Be 2.17

The space group is P-1, No. 2.

=====

<x>
Here is a relaxed RbHfBe crystal from the Alexandria database. Energies are from PBE.

abc: 3.7639 4.5949 12.8445
angles: 84.37 88.16 65.84
Last column: nearest neighbours and their distance in Å.
Positions (direct):
1 Rb 0.0000 0.0000 0.0000  3 Be 3.55-3.88, 2 Rb 3.76
2 Rb 0.3815 0.3725 0.3529  2 Rb 3.76, 3 Hf 3.88-4.09
3 Hf 0.3211 0.4135 0.7478  6 Be 2.55-2.63
4 Hf 0.6709 0.7478 0.5957  3 Be 2.41-2.61
5 Be 0.0251 0.0163 0.6974  2 Be 2.30, 1 Hf 2.55
6 Be 0.6226 0.8035 0.7806  2 Be 2.30, 4 Hf 2.41-2.55

The space group is P1, No. 1.

=====

Stability, highest: <x>

=====

<w>
Here is a relaxed RbHfBe crystal from the Alexandria database. Energies are from PBE.

abc: 3.6850 4.6060 12.5246
angles: 97.00 98.46 90.36
Last column: nearest neighbours and their distance in Å.
Positions (direct):
1 Rb 0.0000 0.0000 0.0000  2 Be 3.27-3.64
2 Rb 0.3643 0.3737 0.6319  2 Rb 3.69, 1 Hf 3.91
3 Hf 0.2035 0.2757 0.3140  4 Be 2.43-2.69
4 Hf 0.7406 0.7919 0.3862  3 Be 2.50-2.66
5 Be 0.1635 0.7252 0.2305  2 Be 2.07-2.08
6 Be 0.6446 0.5252 0.1980  2 Be 2.07-2.08

The space group is P1, No. 1.

=====

<x>
Here is a relaxed RbHfBe crystal from the Alexandria database. Energies are from PBE.

abc: 3.8550 3.8552 14.1176
angles: 95.78 90.71 119.98
Last column: nearest neighbours and their distance in Å.
Positions (direct):
1 Rb 0.0000 0.0000 0.0000  6 Rb 3.86, 3 Hf 4.02-4.03
2 Rb 0.2049 0.3494 0.6676  6 Be 3.48-3.51, 6 Rb 3.86
3 Hf 0.1173 0.2019 0.3876  6 Be 2.53-2.55
4 Hf 0.7390 0.4589 0.2392  3 Hf 3.04-3.05, 1 Be 3.29
5 Be 0.4778 0.9149 0.4766  3 Be 2.23
6 Be 0.8105 0.5801 0.4740  3 Be 2.23

The space group is P1, No. 1.

=====

Stability, highest: <x>

=====

<w>
Here is a relaxed RbHfBe crystal from the Alexandria database. Energies are from PBE.

abc: 3.4082 3.7875 13.6645
angles: 89.59 83.42 90.00
Last column: nearest neighbours and their distance in Å.
Positions (direct):
1 Rb 0.0932 0.2420 0.3325  4 Rb 3.41-3.79, 1 Hf 3.59, 4 Be 3.74-3.75
2 Rb 0.9068 0.7580 0.6675  4 Rb 3.41-3.79, 1 Hf 3.59, 4 Be 3.74-3.75
3 Hf 0.2167 0.2481 0.0682  5 Be 2.68-2.70
4 Hf 0.7833 0.7519 0.9318  5 Be 2.68-2.70
5 Be 0.3123 0.2535 0.8696  5 Hf 2.68-2.70
6 Be 0.6877 0.7465 0.1304  5 Hf 2.68-2.70

The space group is P-1, No. 2.

=====

<x>
Here is a relaxed RbHfBe crystal from the Alexandria database. Energies are from PBE.

abc: 3.6241 3.8838 13.5419
angles: 98.09 90.37 90.00
Last column: nearest neighbours and their distance in Å.
Positions (direct):
1 Rb 0.2412 0.3400 0.1708  4 Rb 3.62-3.88, 1 Be 3.82
2 Rb 0.7588 0.6600 0.8292  4 Rb 3.62-3.88, 1 Be 3.82
3 Hf 0.2521 0.0427 0.5873  6 Be 2.62-2.72
4 Hf 0.7479 0.9573 0.4127  6 Be 2.62-2.72
5 Be 0.2490 0.4787 0.4558  2 Be 2.17
6 Be 0.7510 0.5213 0.5442  2 Be 2.17

The space group is P-1, No. 2.

=====

<y>
Here is a relaxed RbHfBe crystal from the Alexandria database. Energies are from PBE.

abc: 3.3527 3.3556 14.6740
angles: 89.47 88.22 90.00
Last column: nearest neighbours and their distance in Å.
Positions (direct):
1 Rb 0.0000 0.0000 0.0000  4 Rb 3.35-3.36, 4 Be 3.51, 1 Hf 3.70
2 Rb 0.4033 0.4728 0.6752  4 Rb 3.35-3.36
3 Hf 0.9351 0.9808 0.4531  4 Be 2.79-2.80, 1 Hf 2.95
4 Hf 0.9642 0.9893 0.2522  8 Be 2.62-2.79
5 Be 0.4498 0.4846 0.3522  1 Be 2.58, 8 Hf 2.79-2.80
6 Be 0.4742 0.4924 0.1765  1 Be 2.58, 4 Hf 2.62

The space group is P1, No. 1.

=====

Stability, highest: <x>

=====

<w>
Here is a relaxed Hf2Be2Re crystal from the Alexandria database. Energies are from PBE.

abc: 6.6087 6.6087 3.3462
angles: 90.00 90.00 149.16
Last column: nearest neighbours and their distance in Å.
Positions (direct):
1 Hf 0.1214 0.8786 0.0000  6 Be 2.64-2.79, 4 Re 2.88
2 Hf 0.8786 0.1214 0.0000  6 Be 2.64-2.79, 4 Re 2.88
3 Be 0.2967 0.7033 0.5000  2 Be 2.12
4 Be 0.7033 0.2967 0.5000  2 Be 2.12
5 Re 0.5000 0.5000 0.5000  2 Be 2.59, 8 Hf 2.88

The space group is Cmmm, No. 65.

=====

<x>
Here is a relaxed Hf2Be2Re crystal from the Alexandria database. Energies are from PBE.

abc: 6.4883 6.4883 3.5046
angles: 90.00 90.00 90.00
Last column: nearest neighbours and their distance in Å.
Positions (direct):
1 Hf 0.1835 0.3165 0.0000  6 Be 2.54-2.65
2 Hf 0.3165 0.8165 0.0000  6 Be 2.54-2.65
3 Hf 0.6835 0.1835 0.0000  6 Be 2.54-2.65
4 Hf 0.8165 0.6835 0.0000  6 Be 2.54-2.65
5 Be 0.1162 0.6162 0.5000  1 Be 2.13
6 Be 0.3838 0.1162 0.5000  1 Be 2.13
7 Be 0.6162 0.8838 0.5000  1 Be 2.13
8 Be 0.8838 0.3838 0.5000  1 Be 2.13
9 Re 0.0000 0.0000 0.5000  4 Be 2.60
10 Re 0.5000 0.5000 0.5000  4 Be 2.60

The space group is P4/mbm, No. 127.

=====

Stability, highest: <x>

=====

<w>
Here is a relaxed HfBe2Re2 crystal from the Alexandria database. Energies are from PBE.

abc: 5.0531 5.0531 5.0531
angles: 130.97 130.97 71.87
Last column: nearest neighbours and their distance in Å.
Positions (direct):
1 Hf 0.0000 0.0000 0.0000  10 Re 2.88-3.21, 8 Be 2.93
2 Be 0.2500 0.7500 0.5000  4 Re 2.26
3 Be 0.7500 0.2500 0.5000  4 Re 2.26
4 Re 0.3514 0.3514 0.0000  4 Be 2.26, 1 Re 2.43
5 Re 0.6486 0.6486 0.0000  4 Be 2.26, 1 Re 2.43

The space group is I4/mmm, No. 139.

=====

<x>
Here is a relaxed HfBe2Re2 crystal from the Alexandria database. Energies are from PBE.

abc: 6.3356 6.3356 3.2351
angles: 90.00 90.00 90.00
Last column: nearest neighbours and their distance in Å.
Positions (direct):
1 Hf 0.0000 0.0000 0.0000  4 Be 2.55, 8 Re 2.85
2 Hf 0.5000 0.5000 0.0000  4 Be 2.55, 8 Re 2.85
3 Be 0.1145 0.3855 0.0000  1 Be 2.05
4 Be 0.3855 0.8855 0.0000  1 Be 2.05
5 Be 0.6145 0.1145 0.0000  1 Be 2.05
6 Be 0.8855 0.6145 0.0000  1 Be 2.05
7 Re 0.1718 0.6718 0.5000  6 Be 2.46-2.51
8 Re 0.3282 0.1718 0.5000  6 Be 2.46-2.51
9 Re 0.6718 0.8282 0.5000  6 Be 2.46-2.51
10 Re 0.8282 0.3282 0.5000  6 Be 2.46-2.51

The space group is P4/mbm, No. 127.

=====

Stability, highest: <x>

=====

<w>
Here is a relaxed HfBe2Rh2 crystal from the Alexandria database. Energies are from PBE.

abc: 6.8330 6.8330 2.8452
angles: 90.00 90.00 90.00
Last column: nearest neighbours and their distance in Å.
Positions (direct):
1 Hf 0.0000 0.0000 0.0000  4 Rh 2.60, 2 Hf 2.85
2 Hf 0.5000 0.5000 0.0000  4 Rh 2.60, 2 Hf 2.85
3 Be 0.1399 0.3601 0.5000  6 Rh 2.44-2.48, 1 Be 2.70
4 Be 0.3601 0.8601 0.5000  6 Rh 2.44-2.48, 1 Be 2.70
5 Be 0.6399 0.1399 0.5000  6 Rh 2.44-2.48, 1 Be 2.70
6 Be 0.8601 0.6399 0.5000  6 Rh 2.44-2.48, 1 Be 2.70
7 Rh 0.1497 0.6497 0.0000  6 Be 2.44-2.48, 2 Hf 2.60
8 Rh 0.3503 0.1497 0.0000  6 Be 2.44-2.48, 2 Hf 2.60
9 Rh 0.6497 0.8503 0.0000  6 Be 2.44-2.48, 2 Hf 2.60
10 Rh 0.8503 0.3503 0.0000  6 Be 2.44-2.48, 2 Hf 2.60

The space group is P4/mbm, No. 127.

=====

<x>
Here is a relaxed HfBe2Rh2 crystal from the Alexandria database. Energies are from PBE.

abc: 5.5107 5.5107 5.5107
angles: 139.97 139.97 57.90
Last column: nearest neighbours and their distance in Å.
Positions (direct):
1 Hf 0.0000 0.0000 0.0000  8 Rh 2.97, 8 Be 3.06
2 Be 0.2500 0.7500 0.5000  4 Rh 2.19
3 Be 0.7500 0.2500 0.5000  4 Rh 2.19
4 Rh 0.3657 0.3657 0.0000  4 Be 2.19
5 Rh 0.6343 0.6343 0.0000  4 Be 2.19

The space group is I4/mmm, No. 139.

=====

Stability, highest: <w>

=====

<w>
Here is a relaxed HfBeRh3 crystal from the Alexandria database. Energies are from PBE.

abc: 4.7272 4.7272 4.7272
angles: 90.00 90.00 90.00
Last column: nearest neighbours and their distance in Å.
Positions (direct):
1 Hf 0.0000 0.0000 0.0000  6 Rh 2.36
2 Be 0.5000 0.5000 0.5000  12 Rh 3.34
3 Rh 0.0000 0.0000 0.5000  2 Hf 2.36
4 Rh 0.0000 0.5000 0.0000  2 Hf 2.36
5 Rh 0.5000 0.0000 0.0000  2 Hf 2.36

The space group is Pm-3m, No. 221.

=====

<x>
Here is a relaxed HfBeRh3 crystal from the Alexandria database. Energies are from PBE.

abc: 4.1574 4.1574 4.1574
angles: 90.00 90.00 90.00
Last column: nearest neighbours and their distance in Å.
Positions (direct):
1 Hf 0.0000 0.0000 0.0000  12 Rh 2.94
2 Be 0.5000 0.5000 0.5000  6 Rh 2.08
3 Rh 0.0000 0.5000 0.5000  2 Be 2.08
4 Rh 0.5000 0.0000 0.5000  2 Be 2.08
5 Rh 0.5000 0.5000 0.0000  2 Be 2.08

The space group is Pm-3m, No. 221.

=====

Stability, highest: <x>

=====

<w>
Here is a relaxed Hf4BeRh crystal from the Alexandria database. Energies are from PBE.

abc: 5.2982 5.2982 5.2982
angles: 103.73 103.73 121.70
Last column: nearest neighbours and their distance in Å.
Positions (direct):
1 Hf 0.0887 0.5887 0.1774  2 Be 2.77, 2 Rh 2.77, 3 Hf 2.99-3.06
2 Hf 0.4113 0.9113 0.8226  2 Be 2.77, 2 Rh 2.77, 3 Hf 2.99-3.06
3 Hf 0.5887 0.4113 0.5000  2 Rh 2.77, 2 Be 2.77, 3 Hf 2.99-3.06
4 Hf 0.9113 0.0887 0.5000  2 Rh 2.77, 2 Be 2.77, 3 Hf 2.99-3.06
5 Be 0.0000 0.0000 0.0000  2 Rh 2.58, 8 Hf 2.77
6 Rh 0.5000 0.5000 0.0000  2 Be 2.58, 8 Hf 2.77

The space group is I422, No. 97.

=====

<x>
Here is a relaxed Hf4BeRh crystal from the Alexandria database. Energies are from PBE.

abc: 7.1580 7.1580 7.1580
angles: 127.37 127.37 77.65
Last column: nearest neighbours and their distance in Å.
Positions (direct):
1 Hf 0.0259 0.5259 0.8328  2 Be 2.66, 2 Rh 2.84, 1 Hf 2.87
2 Hf 0.1931 0.0259 0.5000  2 Be 2.66, 2 Rh 2.84, 1 Hf 2.87
3 Hf 0.3069 0.8069 0.8328  2 Be 2.66, 2 Rh 2.84, 1 Hf 2.87
4 Hf 0.4741 0.3069 0.5000  2 Be 2.66, 2 Rh 2.84, 1 Hf 2.87
5 Hf 0.5259 0.6931 0.5000  2 Be 2.66, 2 Rh 2.84, 1 Hf 2.87
6 Hf 0.6931 0.1931 0.1672  2 Be 2.66, 2 Rh 2.84, 1 Hf 2.87
7 Hf 0.8069 0.9741 0.5000  2 Be 2.66, 2 Rh 2.84, 1 Hf 2.87
8 Hf 0.9741 0.4741 0.1672  2 Be 2.66, 2 Rh 2.84, 1 Hf 2.87
9 Be 0.2500 0.2500 0.0000  8 Hf 2.66, 2 Rh 2.79
10 Be 0.7500 0.7500 0.0000  8 Hf 2.66, 2 Rh 2.79
11 Rh 0.0000 0.0000 0.0000  2 Be 2.79, 8 Hf 2.84
12 Rh 0.5000 0.5000 0.0000  2 Be 2.79, 8 Hf 2.84

The space group is I4/mcm, No. 140.

=====

Stability, highest: <w>

=====

<w>
Here is a relaxed HfBe3Rh crystal from the Alexandria database. Energies are from PBE.

abc: 4.4508 4.4508 4.4508
angles: 90.00 90.00 90.00
Last column: nearest neighbours and their distance in Å.
Positions (direct):
1 Hf 0.0000 0.0000 0.0000  6 Be 2.23
2 Be 0.0000 0.0000 0.5000  2 Hf 2.23
3 Be 0.0000 0.5000 0.0000  2 Hf 2.23
4 Be 0.5000 0.0000 0.0000  2 Hf 2.23
5 Rh 0.5000 0.5000 0.5000  12 Be 3.15

The space group is Pm-3m, No. 221.

=====

<x>
Here is a relaxed HfBe3Rh crystal from the Alexandria database. Energies are from PBE.

abc: 4.0891 4.0891 4.0891
angles: 90.00 90.00 90.00
Last column: nearest neighbours and their distance in Å.
Positions (direct):
1 Hf 0.0000 0.0000 0.0000  12 Be 2.89
2 Be 0.0000 0.5000 0.5000  2 Rh 2.04
3 Be 0.5000 0.0000 0.5000  2 Rh 2.04
4 Be 0.5000 0.5000 0.0000  2 Rh 2.04
5 Rh 0.5000 0.5000 0.5000  6 Be 2.04

The space group is Pm-3m, No. 221.

=====

Stability, highest: <x>